Record 1
Material: RbErTeO
Method: DFT, GGA-PBE
State: relaxed

Structure (POSCAR):
```
RbErTeO
1.0
-3.235 5.262 -6.743
-6.682 -3.072 0.809
-1.314 4.162 4.950
Te Er Rb O
4 4 4 4
direct
0.251 0.420 0.385
0.749 0.920 0.115
0.251 0.080 0.885
0.749 0.580 0.615
0.489 0.132 0.289
0.489 0.368 0.789
0.511 0.632 0.211
0.511 0.868 0.711
0.871 0.108 0.651
0.129 0.892 0.349
0.129 0.608 0.849
0.871 0.392 0.151
0.433 0.644 0.890
0.567 0.144 0.610
0.567 0.356 0.110
0.433 0.856 0.390
```

**Space-group type**: P2_1/c
**Total DFT energy (no corrections)**: -88.5 eV/cell
**ΔE to the lowest computed polymorph**: 0 meV per atom
**Crystal system**: monoclinic

Record 2
Material: NdGdGa2F2
Method: DFT, GGA-PBE
State: relaxed

Structure (POSCAR):
```
NdGdGa2F2
1.0
3.957 0.000 0.000
-1.979 3.427 0.000
0.000 0.000 8.863
F Ga Gd Nd
2 2 1 1
direct
0.667 0.333 0.872
0.333 0.667 0.137
0.667 0.333 0.454
0.333 0.667 0.537
0.000 0.000 0.253
0.000 0.000 0.746
```

**Space-group type**: P3m1
**Total DFT energy (no corrections)**: -30.8 eV/cell
**Crystal system**: trigonal

Record 3
Material: LuPtW
Method: DFT, GGA-PBE
State: relaxed

Structure (POSCAR):
```
LuPtW
1.0
0.000 3.182 3.182
3.182 0.000 3.182
3.182 3.182 0.000
W Pt Lu
1 1 1
direct
0.750 0.750 0.750
0.000 0.000 0.000
0.250 0.250 0.250
```

**Space-group type**: F-43m
**Total DFT energy (no corrections)**: -23.0 eV/cell
**ΔE to the lowest computed polymorph**: 0 meV per atom
**E_form**: 0.17 eV/atom
**Crystal system**: cubic

Record 4
Material: HfTlNiPt
Method: DFT, GGA-PBE
State: relaxed

Structure (POSCAR):
```
HfTlNiPt
1.0
-3.961 1.759 1.637
-1.335 4.256 -1.249
-3.630 0.553 -2.824
Ni Pt Tl Hf
1 1 1 1
direct
0.750 0.750 0.750
0.500 0.500 0.500
0.000 0.000 0.000
0.250 0.250 0.250
```

**Space-group type**: F-43m
**Total DFT energy (no corrections)**: -24.7 eV/cell
**ΔE to the lowest computed polymorph**: 184 meV per atom
**Crystal system**: cubic

Record 5
Material: SmPO4
Method: DFT, GGA-PBE
State: relaxed

Structure (POSCAR):
```
SmPO4
1.0
6.672 0.000 0.002
0.000 6.873 0.000
-1.521 0.000 6.156
O Sm P
16 4 4
direct
0.974 0.396 0.313
0.384 0.335 0.500
0.379 0.711 0.786
0.751 0.998 0.563
0.026 0.604 0.687
0.116 0.835 0.000
0.616 0.665 0.500
0.526 0.896 0.187
0.884 0.165 0.000
0.249 0.002 0.437
0.251 0.502 0.063
0.749 0.498 0.937
0.121 0.211 0.714
0.474 0.104 0.813
0.879 0.789 0.286
0.621 0.289 0.214
0.281 0.156 0.098
0.719 0.844 0.902
0.219 0.656 0.402
0.781 0.344 0.598
0.303 0.162 0.613
0.803 0.338 0.113
0.697 0.838 0.387
0.197 0.662 0.887
```

**Space-group type**: P2_1/c
**Total DFT energy (no corrections)**: -191.4 eV/cell
**Crystal system**: monoclinic

Record 6
Material: Nd2Si2O5
Method: DFT, GGA-PBE
State: relaxed

Structure (POSCAR):
```
Nd2Si2O5
1.0
-6.072 7.813 0.467
-2.643 -2.112 0.976
0.869 0.474 3.379
O Nd Si
5 2 2
direct
0.500 0.500 0.500
0.886 0.500 0.000
0.114 0.500 0.000
0.886 0.000 0.500
0.114 0.000 0.500
0.744 0.500 0.500
0.256 0.500 0.500
0.500 0.000 0.000
0.000 0.000 0.000
```

**Space-group type**: P4/mmm
**Total DFT energy (no corrections)**: -60.8 eV/cell
**ΔE to the lowest computed polymorph**: 479 meV per atom
**Crystal system**: tetragonal

Record 7
Material: TbAgGe
Method: DFT, GGA-PBE
State: relaxed

Structure (POSCAR):
```
TbAgGe
1.0
7.350 0.000 0.000
-3.675 6.365 0.000
0.000 0.000 4.164
Tb Ge Ag
3 3 3
direct
0.000 0.603 0.500
0.397 0.397 0.500
0.603 0.000 0.500
0.266 0.000 0.000
0.000 0.266 0.000
0.734 0.734 0.000
0.000 0.000 0.500
0.667 0.333 0.000
0.333 0.667 0.000
```

**Space-group type**: P-62m
**Total DFT energy (no corrections)**: -40.0 eV/cell
**Crystal system**: hexagonal

Record 8
Material: Nd3TlN
Method: DFT, GGA-PBE
State: relaxed

Structure (POSCAR):
```
Nd3TlN
1.0
-3.461 3.427 -1.255
-1.857 -3.143 -3.460
-3.142 -1.917 3.428
Nd N Tl
3 1 1
direct
0.000 0.500 0.000
0.000 0.000 0.500
0.500 0.000 0.000
0.000 0.000 0.000
0.500 0.500 0.500
```

**Space-group type**: Pm-3m
**Total DFT energy (no corrections)**: -29.1 eV/cell
**Crystal system**: cubic

Record 9
Material: KZnPO4
Method: DFT, GGA-PBE
State: relaxed

Structure (POSCAR):
```
KZnPO4
1.0
3.169 -4.746 0.000
3.169 4.746 0.000
0.000 0.000 6.121
O P Zn K
8 2 2 2
direct
0.728 0.272 0.956
0.721 0.661 0.750
0.728 0.272 0.544
0.272 0.728 0.044
0.339 0.279 0.750
0.661 0.721 0.250
0.279 0.339 0.250
0.272 0.728 0.456
0.369 0.631 0.250
0.631 0.369 0.750
0.649 0.351 0.250
0.351 0.649 0.750
0.000 0.000 0.000
0.000 0.000 0.500
```

**Space-group type**: Cmcm
**Total DFT energy (no corrections)**: -82.8 eV/cell
**ΔE to the lowest computed polymorph**: 129 meV per atom
**Crystal system**: orthorhombic

Record 10
Material: RbPmMg
Method: DFT, GGA-PBE
State: relaxed

Structure (POSCAR):
```
RbPmMg
1.0
0.840 -3.261 4.718
-2.391 1.540 5.051
-4.378 -3.099 2.198
Rb Mg Pm
1 1 1
direct
0.000 0.000 0.000
0.500 0.500 0.500
0.250 0.250 0.250
```

**Space-group type**: F-43m
**Total DFT energy (no corrections)**: -4.6 eV/cell
**Crystal system**: cubic

Record 11
Material: SnIrAu2
Method: DFT, GGA-PBE
State: relaxed

Structure (POSCAR):
```
SnIrAu2
1.0
-4.564 0.348 0.911
-2.920 1.580 -3.279
-3.016 -2.918 -2.041
Au Sn Ir
2 1 1
direct
0.000 0.000 0.000
0.750 0.750 0.750
0.500 0.500 0.500
0.250 0.250 0.250
```

**Space-group type**: F-43m
**Total DFT energy (no corrections)**: -18.8 eV/cell
**Crystal system**: cubic

Record 12
Material: Li2FeS2
Method: DFT, GGA-PBE
State: relaxed

Structure (POSCAR):
```
Li2FeS2
1.0
-1.986 -3.039 1.043
3.067 1.015 1.958
-3.438 3.477 3.583
Li S Fe
2 2 1
direct
0.333 0.667 0.639
0.667 0.333 0.361
0.333 0.667 0.225
0.667 0.333 0.775
0.000 0.000 0.000
```

**Space-group type**: P-3m1
**Total DFT energy (no corrections)**: -24.2 eV/cell
**ΔE to the lowest computed polymorph**: 112 meV per atom
**Crystal system**: trigonal

Record 13
Material: Y2TmAl3AgIr2
Method: DFT, GGA-PBE
State: relaxed

Structure (POSCAR):
```
Y2TmAl3AgIr2
1.0
-0.384 -3.811 -1.348
1.956 -2.446 6.357
-6.872 1.150 -1.295
Al Ag Ir Tm Y
3 1 2 1 2
direct
0.500 0.257 0.257
0.500 0.002 0.742
0.500 0.742 0.002
0.000 0.995 0.995
0.500 0.664 0.341
0.500 0.341 0.664
0.000 0.582 0.582
0.000 0.000 0.418
0.000 0.418 0.000
```

**Space-group type**: Amm2
**Total DFT energy (no corrections)**: -55.6 eV/cell
**Crystal system**: orthorhombic

Record 14
Material: Sr2SnIr
Method: DFT, GGA-PBE
State: relaxed

Structure (POSCAR):
```
Sr2SnIr
1.0
4.514 0.000 0.000
0.000 2.408 5.696
0.000 -2.408 5.696
Sr Sn Ir
2 1 1
direct
0.500 0.352 0.352
0.000 0.642 0.642
0.000 0.944 0.944
0.500 0.062 0.062
```

**Space-group type**: Amm2
**Total DFT energy (no corrections)**: -17.8 eV/cell
**Crystal system**: orthorhombic

Record 15
Material: TaAg3S4
Method: DFT, GGA-PBE
State: relaxed

Structure (POSCAR):
```
TaAg3S4
1.0
5.410 1.520 -1.862
-0.776 1.885 5.557
-0.567 -5.889 -0.183
Ag Ta S
3 1 4
direct
0.500 0.500 0.000
0.500 0.000 0.500
0.000 0.500 0.500
0.000 0.000 0.000
0.390 0.390 0.390
0.610 0.000 0.000
0.000 0.000 0.610
0.000 0.610 0.000
```

**Space-group type**: I-43m
**Total DFT energy (no corrections)**: -39.3 eV/cell
**ΔE to the lowest computed polymorph**: 145 meV per atom
**Crystal system**: cubic

Record 16
Material: Er2TmLu4Ni2Te2
Method: DFT, GGA-PBE
State: relaxed

Structure (POSCAR):
```
Er2TmLu4Ni2Te2
1.0
-1.905 7.650 4.717
1.905 -7.650 4.717
1.905 7.650 -4.717
Lu Ni Te Er Tm
4 2 2 2 1
direct
0.375 0.729 0.646
0.717 0.582 0.135
0.083 0.729 0.354
0.447 0.582 0.865
0.833 0.070 0.764
0.306 0.070 0.236
0.733 0.233 0.500
0.339 0.339 0.000
0.062 0.377 0.685
0.691 0.377 0.315
0.001 0.001 0.000
```

**Space-group type**: Imm2
**Total DFT energy (no corrections)**: -56.5 eV/cell
**ΔE to the lowest computed polymorph**: 11 meV per atom
**Crystal system**: orthorhombic

Record 17
Material: Cu2Ir
Method: DFT, GGA-PBE
State: relaxed

Structure (POSCAR):
```
Cu2Ir
1.0
-2.123 -5.777 -4.360
-1.537 -6.701 3.103
-7.112 -2.498 0.250
Cu Ir
4 2
direct
0.375 0.875 0.375
0.375 0.375 0.875
0.375 0.375 0.375
0.875 0.375 0.375
0.500 0.500 0.500
0.250 0.250 0.250
```

**Space-group type**: Fd-3m
**Total DFT energy (no corrections)**: -21.5 eV/cell
**ΔE to the lowest computed polymorph**: 1603 meV per atom
**E_form**: 1.84 eV/atom
**Crystal system**: cubic

Record 18
Material: SrHoTl
Method: DFT, GGA-PBE
State: relaxed

Structure (POSCAR):
```
SrHoTl
1.0
0.000 3.827 3.827
3.827 0.000 3.827
3.827 3.827 0.000
Ho Tl Sr
1 1 1
direct
0.250 0.250 0.250
0.000 0.000 0.000
0.750 0.750 0.750
```

**Space-group type**: F-43m
**Total DFT energy (no corrections)**: -8.7 eV/cell
**ΔE to the lowest computed polymorph**: 0 meV per atom
**Crystal system**: cubic

Record 19
Material: Zn4Mo3
Method: DFT, GGA-PBE
State: relaxed

Structure (POSCAR):
```
Zn4Mo3
1.0
-3.878 -5.924 2.228
-1.589 -0.904 7.194
-3.821 2.292 -0.556
Mo Zn
6 8
direct
0.522 0.395 0.500
0.700 0.441 0.000
0.252 0.797 0.500
0.298 0.573 0.000
0.430 0.843 0.000
0.654 0.665 0.500
0.383 0.100 0.500
0.996 0.007 0.000
0.143 0.286 0.000
0.569 0.139 0.000
0.809 0.953 0.500
0.957 0.231 0.500
0.089 0.526 0.500
0.864 0.712 0.000
```

**Space-group type**: P6_3/m
**Total DFT energy (no corrections)**: -73.6 eV/cell
**E_form**: 0.12 eV/atom
**Crystal system**: hexagonal

Record 20
Material: Zn2CoHg
Method: DFT, GGA-PBE
State: relaxed

Structure (POSCAR):
```
Zn2CoHg
1.0
0.000 3.115 3.115
3.115 0.000 3.115
3.115 3.115 0.000
Hg Zn Co
1 2 1
direct
0.250 0.250 0.250
0.750 0.750 0.750
0.000 0.000 0.000
0.500 0.500 0.500
```

**Space-group type**: F-43m
**Total DFT energy (no corrections)**: -8.9 eV/cell
**E_form**: 0.25 eV/atom
**Crystal system**: cubic